Crystalline NaGaTe2 at its relaxed geometry, computed with PBE.

Cell and atoms, written as extended XYZ:
```
8
Lattice="7.486 0.000 -0.003 0.000 4.296 0.000 -0.814 -2.145 8.330" Properties=species:S:1:pos:R:3 pbc="T T T"
Na 0.867 2.287 7.362
Na 4.076 0.136 2.432
Te 3.753 2.283 0.121
Te 6.429 0.139 6.205
Te 2.787 2.283 4.628
Te 7.244 0.135 1.861
Ga 6.479 2.282 0.417
Ga 3.816 0.134 5.923
```

## Properties
The value obtained for the formation energy from raw total energies is -0.56 eV per atom. The calculation puts the total energy at -3.21 eV per atom. Its density is 4.3 Mg/m³. For the total magnetization, the calculation gives 0.00 Bohr magnetons per cell. As for the crystal system: triclinic.


Crystalline CaPW at its relaxed geometry, computed with PBE.

Cell and atoms, written as extended XYZ:
```
3
Lattice="-0.782 -2.013 -2.565 0.667 -1.308 3.015 -5.930 0.406 1.488" Properties=species:S:1:pos:R:3 pbc="T T T"
Ca -0.193 0.013 0.048
P -2.475 -1.629 -0.159
W -3.377 -1.299 2.048
```

## Properties
Its relative energy among the computed polymorphs is 0.466 eV/atom. The calculation puts the total energy at -6.78 eV per atom. Its density is 7.1 Mg/m³. For the total magnetization, the calculation gives 0.87 Bohr magnetons per cell. As for the crystal system: trigonal. The formation enthalpy at 0 K comes out at 0.01 eV/atom.


Crystalline Sc2MnTc at its relaxed geometry, computed with PBE.

Cell and atoms, written as extended XYZ:
```
4
Lattice="4.442 0.802 -0.589 -0.881 4.427 -0.589 0.345 0.507 3.301" Properties=species:S:1:pos:R:3 pbc="T T T"
Mn -0.268 2.467 1.356
Sc 0.000 0.000 0.000
Sc 1.781 2.615 -0.589
Tc 2.394 0.654 1.356
```

## Properties
The calculation puts the total energy at -8.08 eV per atom. Its density is 5.8 Mg/m³. For the total magnetization, the calculation gives 3.31 Bohr magnetons per cell. As for the crystal system: tetragonal. The formation enthalpy at 0 K comes out at -0.03 eV/atom.


Crystalline Li2HgP at its relaxed geometry, computed with PBE.

Cell and atoms, written as extended XYZ:
```
4
Lattice="3.041 0.000 0.000 0.000 3.041 0.000 0.000 0.000 7.301" Properties=species:S:1:pos:R:3 pbc="T T T"
Hg 1.521 1.521 5.476
Li 0.000 0.000 0.346
Li 0.000 0.000 3.305
P 1.521 1.521 1.825
```

## Properties
The calculation puts the total energy at -2.72 eV per atom. Its density is 6.0 Mg/m³. For the total magnetization, the calculation gives 0.00 Bohr magnetons per cell. As for the crystal system: tetragonal. The formation enthalpy at 0 K comes out at -0.34 eV/atom.


Crystalline Na2CuHgN at its relaxed geometry, computed with PBE.

Cell and atoms, written as extended XYZ:
```
5
Lattice="5.070 0.000 0.000 0.000 5.070 0.000 0.000 0.000 3.648" Properties=species:S:1:pos:R:3 pbc="T T T"
Na 0.000 2.535 0.000
Na 2.535 0.000 0.000
Hg 2.535 2.535 1.824
Cu 0.000 0.000 1.824
N 0.000 0.000 0.000
```

## Properties
The value obtained for the formation energy from raw total energies is 0.00 eV per atom. The calculation puts the total energy at -3.08 eV per atom. Its density is 5.7 Mg/m³. For the total magnetization, the calculation gives 0.00 Bohr magnetons per cell. As for the crystal system: tetragonal.


Crystalline CdSb2PtI at its relaxed geometry, computed with PBE.

Cell and atoms, written as extended XYZ:
```
5
Lattice="-3.778 -0.796 3.603 3.683 -1.140 3.610 0.251 5.474 1.473" Properties=species:S:1:pos:R:3 pbc="T T T"
I 0.125 2.737 0.736
Sb 1.842 -0.570 1.805
Sb -1.889 -0.398 1.802
Pt 0.000 0.000 0.000
Cd 0.078 1.769 4.343
```

## Properties
Its relative energy among the computed polymorphs is 0.000 eV/atom. The value obtained for the formation energy from raw total energies is 0.34 eV per atom. The calculation puts the total energy at -3.01 eV per atom. Its density is 7.1 Mg/m³. For the total magnetization, the calculation gives 0.55 Bohr magnetons per cell. As for the crystal system: tetragonal.


Crystalline HfTi2Al at its relaxed geometry, computed with PBE.

Cell and atoms, written as extended XYZ:
```
4
Lattice="3.037 0.000 0.000 0.000 3.037 0.000 0.000 0.000 7.899" Properties=species:S:1:pos:R:3 pbc="T T T"
Hf 1.518 1.518 3.949
Al 1.518 1.518 0.000
Ti 0.000 0.000 6.050
Ti 0.000 0.000 1.848
```

## Properties
The calculation puts the total energy at -7.52 eV per atom. Its density is 6.9 Mg/m³. For the total magnetization, the calculation gives 0.00 Bohr magnetons per cell. As for the crystal system: tetragonal. The formation enthalpy at 0 K comes out at -0.15 eV/atom.


Crystalline Na3Np3PN8 at its relaxed geometry, computed with PBE.

Cell and atoms, written as extended XYZ:
```
15
Lattice="-6.264 -1.993 -1.471 3.401 -2.986 4.992 -2.230 6.411 0.808" Properties=species:S:1:pos:R:3 pbc="T T T"
Na 0.000 0.000 0.000
Na 1.700 -1.493 2.496
Na -1.432 -2.490 1.760
Np -4.247 2.209 -0.331
Np -2.547 0.716 2.164
Np 0.585 1.712 2.900
P -1.115 3.205 0.404
N -0.542 -0.171 2.540
N -4.552 1.602 1.789
N -3.719 -1.074 1.870
N -1.375 2.505 2.459
N -5.402 0.404 -0.601
N 0.308 1.027 4.930
N -2.302 1.390 0.127
N -2.791 0.041 4.202
```

## Properties
The value obtained for the formation energy from raw total energies is -0.47 eV per atom. The calculation puts the total energy at -8.12 eV per atom. Its density is 6.9 Mg/m³. For the total magnetization, the calculation gives 3.00 Bohr magnetons per cell. As for the crystal system: trigonal.